DFT (PBE) results for a geometry-optimized MoPPbS2 structure.

Lattice parameters (Å, degrees): 4.842 4.842 5.056 90.00 90.00 90.00
Atoms (fractional coordinates):
1 Pb 0.500 0.500 0.500
2 P 0.000 0.000 0.500
3 Mo 0.000 0.000 0.000
4 S 0.000 0.500 0.000
5 S 0.500 0.000 0.000

Values from the calculation:
**SG**: No. 123
**Excess energy over the best structure of this formula in the dataset**: 0.00 eV/f.u.
**E_tot**: -5.58 eV/atom
**Fermi-level density of states**: 3.22 states/eV/cell
**Formation energy from raw total energies**: 60 meV per atom

DFT (PBE) results for a geometry-optimized CrCuHPd2 structure.

Lattice parameters (Å, degrees): 3.955 3.955 3.882 90.00 90.00 90.00
Last column: magnetic moment on the atom in μB.
Atoms (fractional coordinates):
1 Cr 0.000 0.000 0.500  3.38
2 Cu 0.500 0.500 0.500  0.10
3 Pd 0.000 0.500 0.000  0.16
4 Pd 0.500 0.000 0.000  0.16
5 H 0.000 0.000 0.000  -0.01

Values from the calculation:
**SG**: No. 123
**Excess energy over the best structure of this formula in the dataset**: 0.00 eV/f.u.
**E_tot**: -5.52 eV/atom
**Fermi-level density of states**: 3.12 states/eV/cell

DFT (PBE) results for a geometry-optimized CeLuMgSn structure.

Lattice parameters (Å, degrees): 5.310 5.310 5.310 60.00 60.00 60.00
Last column: magnetic moment on the atom in μB.
Atoms (fractional coordinates):
1 Mg 0.750 0.750 0.750  0.01
2 Lu 0.000 0.000 0.000  0.07
3 Sn 0.250 0.250 0.250  0.01
4 Ce 0.500 0.500 0.500  0.81

Values from the calculation:
**SG**: No. 216
**E_tot**: -4.32 eV/atom
**Fermi-level density of states**: 8.24 states/eV/cell
**Energy relative to the elements**: -0.310 eV per atom

DFT (PBE) results for a geometry-optimized Sr2SbRu structure.

Lattice parameters (Å, degrees): 3.583 3.583 9.334 90.00 90.00 90.00
Atoms (fractional coordinates):
1 Ru 0.000 0.000 0.563
2 Sb 0.500 0.500 0.681
3 Sr 0.000 0.000 0.930
4 Sr 0.500 0.500 0.326

Values from the calculation:
**SG**: No. 99
**E_tot**: -4.30 eV/atom
**Fermi-level density of states**: 3.93 states/eV/cell
**Formation energy from raw total energies**: -111 meV per atom

| no. | magnetic moment (μB/f.u.) |
| --- | --- |
| 1 | 0.0 |
| 2 | 4.1 |
| 3 | 1.1 |
| 4 | 0.0 |